[1]
DFT (PBE) results for an optimized crystal structure of CrH3Pb. Values from VASP.

Output
energy = -3.72 eV per atom
volume = 15.2 Å³ per atom
SG = No. 221

```
&SYSTEM
  ibrav = 0, nat = 5, ntyp = 3
/
ATOMIC_SPECIES
Cr 52.00 Cr.upf
H 1.01 H.upf
Pb 207.20 Pb.upf
ATOMIC_POSITIONS crystal
Cr 0.500 0.500 0.500
H 0.000 0.500 0.000
H 0.500 0.000 0.000
H 0.000 0.000 0.500
Pb 0.000 0.000 0.000
CELL_PARAMETERS angstrom
4.238 0.000 0.000
0.000 4.238 0.000
0.000 0.000 4.238
```

=====

[2]
DFT (PBE) results for an optimized crystal structure of Tl3CuSn3S8. Values from VASP.

Output
E_form (uncorrected) = -0.314 eV per atom
volume = 25.1 Å³ per atom
SG = No. 12

```
&SYSTEM
  ibrav = 0, nat = 15, ntyp = 4
/
ATOMIC_SPECIES
S 32.06 S.upf
Sn 118.71 Sn.upf
Tl 204.38 Tl.upf
Cu 63.55 Cu.upf
ATOMIC_POSITIONS crystal
S 0.783 0.038 0.323
S 0.245 0.489 0.698
S 0.217 0.962 0.677
S 0.255 0.038 0.323
S 0.745 0.962 0.677
S 0.267 0.533 0.302
S 0.733 0.467 0.698
S 0.755 0.511 0.302
Sn 0.500 0.000 0.500
Sn 0.500 0.500 0.500
Sn 0.000 0.500 0.500
Tl 0.000 0.000 0.000
Tl 0.500 0.500 0.000
Tl 0.000 0.500 0.000
Cu 0.000 0.000 0.500
CELL_PARAMETERS angstrom
7.444 0.000 0.000
-3.722 6.628 -0.046
0.000 -4.419 7.663
```

=====

[3]
DFT (PBE) results for an optimized crystal structure of La3NdY2Se6. Values from VASP.

Output
E_form (uncorrected) = -1.902 eV per atom
volume = 26.6 Å³ per atom
SG = No. 12

```
&SYSTEM
  ibrav = 0, nat = 12, ntyp = 4
/
ATOMIC_SPECIES
Se 78.96 Se.upf
Y 88.91 Y.upf
La 138.91 La.upf
Nd 144.24 Nd.upf
ATOMIC_POSITIONS crystal
Se 0.420 0.079 0.237
Se 0.737 0.737 0.234
Se 0.263 0.263 0.766
Se 0.580 0.921 0.763
Se 0.921 0.580 0.763
Se 0.079 0.420 0.237
Y 0.333 0.667 0.000
Y 0.667 0.333 0.000
La 0.837 0.163 0.500
La 0.500 0.500 0.500
La 0.163 0.837 0.500
Nd 0.000 0.000 0.000
CELL_PARAMETERS angstrom
-5.654 4.535 -0.898
2.278 -4.167 -5.549
-3.211 -5.142 4.145
```

=====

[4]
DFT (PBE) results for an optimized crystal structure of LuPuPb. Values from VASP.

Output
volume = 28.0 Å³ per atom
E_form = -0.057 eV/atom
SG = No. 107

```
&SYSTEM
  ibrav = 0, nat = 3, ntyp = 3
/
ATOMIC_SPECIES
Pb 207.20 Pb.upf
Pu 244.00 Pu.upf
Lu 174.97 Lu.upf
ATOMIC_POSITIONS crystal
Pb 0.275 0.275 0.551
Pu 0.944 0.944 0.889
Lu 0.630 0.630 0.260
CELL_PARAMETERS angstrom
3.987 0.000 0.000
0.000 3.987 0.000
-1.994 -1.994 5.291
```

=====

[5]
DFT (PBE) results for an optimized crystal structure of CuReHg2. Values from VASP.

Output
volume = 17.4 Å³ per atom
E_form = 0.810 eV/atom
SG = No. 71

```
&SYSTEM
  ibrav = 0, nat = 4, ntyp = 3
/
ATOMIC_SPECIES
Hg 200.59 Hg.upf
Re 186.21 Re.upf
Cu 63.55 Cu.upf
ATOMIC_POSITIONS crystal
Hg 0.015 0.015 0.000
Hg 0.485 0.485 0.000
Re 0.750 0.250 0.500
Cu 0.250 0.750 0.500
CELL_PARAMETERS angstrom
-3.280 3.587 -2.738
-4.994 -1.852 -1.660
3.560 1.235 4.114
```

=====

[6]
DFT (PBE) results for an optimized crystal structure of Np3V5S12. Values from VASP.

Output
E_form (uncorrected) = -1.019 eV per atom
volume = 20.6 Å³ per atom
SG = No. 230

```
&SYSTEM
  ibrav = 0, nat = 80, ntyp = 3
/
ATOMIC_SPECIES
S 32.06 S.upf
Np 237.00 Np.upf
V 50.94 V.upf
ATOMIC_POSITIONS crystal
S 0.032 0.622 0.711
S 0.911 0.089 0.622
S 0.289 0.411 0.822
S 0.089 0.911 0.122
S 0.378 0.411 0.089
S 0.178 0.089 0.968
S 0.878 0.589 0.911
S 0.532 0.322 0.911
S 0.911 0.822 0.789
S 0.589 0.968 0.678
S 0.589 0.878 0.411
S 0.822 0.911 0.289
S 0.322 0.789 0.411
S 0.411 0.122 0.589
S 0.089 0.178 0.211
S 0.211 0.532 0.622
S 0.822 0.911 0.032
S 0.178 0.089 0.711
S 0.322 0.532 0.411
S 0.968 0.589 0.178
S 0.211 0.678 0.089
S 0.878 0.289 0.468
S 0.122 0.711 0.532
S 0.378 0.968 0.789
S 0.711 0.589 0.178
S 0.678 0.468 0.589
S 0.532 0.211 0.122
S 0.468 0.789 0.878
S 0.789 0.322 0.911
S 0.032 0.411 0.822
S 0.622 0.032 0.211
S 0.089 0.178 0.468
S 0.089 0.911 0.378
S 0.411 0.289 0.322
S 0.411 0.378 0.589
S 0.411 0.032 0.322
S 0.911 0.089 0.878
S 0.589 0.711 0.678
S 0.468 0.678 0.089
S 0.789 0.468 0.378
S 0.622 0.589 0.911
S 0.678 0.211 0.589
S 0.911 0.822 0.532
S 0.122 0.411 0.089
S 0.968 0.378 0.289
S 0.289 0.878 0.968
S 0.589 0.622 0.411
S 0.711 0.122 0.032
Np 0.125 0.875 0.750
Np 0.250 0.125 0.375
Np 0.625 0.375 0.750
Np 0.625 0.250 0.375
Np 0.375 0.625 0.250
Np 0.750 0.875 0.625
Np 0.250 0.625 0.875
Np 0.875 0.750 0.125
Np 0.875 0.125 0.250
Np 0.375 0.750 0.625
Np 0.125 0.250 0.875
Np 0.750 0.375 0.125
V 0.250 0.375 0.625
V 0.375 0.125 0.750
V 0.000 0.000 0.500
V 0.375 0.250 0.125
V 0.625 0.750 0.875
V 0.500 0.000 0.000
V 0.125 0.375 0.250
V 0.500 0.500 0.500
V 0.000 0.500 0.000
V 0.000 0.000 0.000
V 0.875 0.625 0.750
V 0.250 0.875 0.125
V 0.875 0.250 0.625
V 0.750 0.625 0.375
V 0.500 0.000 0.500
V 0.125 0.750 0.375
V 0.625 0.875 0.250
V 0.500 0.500 0.000
V 0.000 0.500 0.500
V 0.750 0.125 0.875
CELL_PARAMETERS angstrom
12.878 0.000 0.000
-4.293 12.142 0.000
-4.293 -6.071 10.515
```

=====

[7]
DFT (PBE) results for an optimized crystal structure of PrGe2Bi2Pd7. Values from VASP.

Output
volume = 20.0 Å³ per atom
E_form = -0.417 eV/atom
SG = No. 12

```
&SYSTEM
  ibrav = 0, nat = 12, ntyp = 4
/
ATOMIC_SPECIES
Pd 106.42 Pd.upf
Ge 72.64 Ge.upf
Bi 208.98 Bi.upf
Pr 140.91 Pr.upf
ATOMIC_POSITIONS crystal
Pd 0.952 0.453 0.157
Pd 0.500 0.500 0.000
Pd 0.048 0.547 0.843
Pd 0.347 0.347 0.432
Pd 0.653 0.653 0.568
Pd 0.453 0.952 0.157
Pd 0.547 0.048 0.843
Ge 0.579 0.579 0.743
Ge 0.421 0.421 0.257
Bi 0.882 0.882 0.382
Bi 0.118 0.118 0.618
Pr 0.000 0.000 0.000
CELL_PARAMETERS angstrom
4.115 0.015 -0.108
0.020 4.115 -0.108
1.635 1.633 14.084
```

=====

[8]
DFT (PBE) results for an optimized crystal structure of Ce4SiAs2P. Values from VASP.

Output
E_form (uncorrected) = -1.202 eV per atom
volume = 25.8 Å³ per atom
SG = No. 10

```
&SYSTEM
  ibrav = 0, nat = 8, ntyp = 4
/
ATOMIC_SPECIES
Si 28.09 Si.upf
Ce 140.12 Ce.upf
As 74.92 As.upf
P 30.97 P.upf
ATOMIC_POSITIONS crystal
Si 0.500 0.500 0.000
Ce 0.000 0.746 0.749
Ce 0.500 0.257 0.745
Ce 0.500 0.743 0.255
Ce 0.000 0.254 0.251
As 0.000 0.000 0.000
As 0.500 0.000 0.500
P 0.000 0.500 0.500
CELL_PARAMETERS angstrom
4.174 0.000 0.000
0.000 7.239 -0.147
0.000 2.544 6.772
```

=====

[9]
DFT (PBE) results for an optimized crystal structure of Sm2HoIr3. Values from VASP.

Output
volume = 22.8 Å³ per atom
E_form = -0.395 eV/atom
SG = No. 71

```
&SYSTEM
  ibrav = 0, nat = 6, ntyp = 3
/
ATOMIC_SPECIES
Sm 150.36 Sm.upf
Ir 192.22 Ir.upf
Ho 164.93 Ho.upf
ATOMIC_POSITIONS crystal
Sm 0.670 0.170 0.340
Sm 0.330 0.830 0.660
Ir 0.351 0.351 0.703
Ir 0.649 0.649 0.297
Ir 0.000 0.000 0.000
Ho 0.000 0.500 0.000
CELL_PARAMETERS angstrom
4.712 0.000 0.000
0.000 5.685 0.000
-2.356 -2.842 5.105
```

=====

[10]
DFT (PBE) results for an optimized crystal structure of RbAcCl2. Values from VASP.

Output
E_form (uncorrected) = -1.594 eV per atom
volume = 31.6 Å³ per atom
SG = No. 166

```
&SYSTEM
  ibrav = 0, nat = 4, ntyp = 3
/
ATOMIC_SPECIES
Cl 35.45 Cl.upf
Rb 85.47 Rb.upf
Ac 227.00 Ac.upf
ATOMIC_POSITIONS crystal
Cl 0.749 0.749 0.754
Cl 0.251 0.251 0.246
Rb 0.000 0.000 0.000
Ac 0.500 0.500 0.500
CELL_PARAMETERS angstrom
4.034 0.000 0.000
2.017 3.493 0.000
2.017 1.164 8.982
```

=====

[11]
DFT (PBE) results for an optimized crystal structure of NaAcO2. Values from VASP.

Output
E_form (uncorrected) = -2.464 eV per atom
volume = 22.2 Å³ per atom
SG = No. 154

```
&SYSTEM
  ibrav = 0, nat = 12, ntyp = 3
/
ATOMIC_SPECIES
Na 22.99 Na.upf
Ac 227.00 Ac.upf
O 16.00 O.upf
ATOMIC_POSITIONS crystal
Na 0.000 0.665 0.000
Na 0.335 0.000 0.667
Na 0.665 0.335 0.333
Ac 0.000 0.671 0.500
Ac 0.329 0.000 0.167
Ac 0.671 0.329 0.833
O 0.333 0.004 0.558
O 0.662 0.333 0.225
O 0.004 0.662 0.892
O 0.338 0.996 0.775
O 0.667 0.338 0.442
O 0.996 0.667 0.108
CELL_PARAMETERS angstrom
3.928 0.000 0.000
1.964 3.402 0.000
0.001 0.000 19.977
```

=====

[12]
DFT (PBE) results for an optimized crystal structure of LiSeCl2. Values from VASP.

Output
E_form (uncorrected) = -0.539 eV per atom
volume = 25.5 Å³ per atom
SG = No. 47

```
&SYSTEM
  ibrav = 0, nat = 4, ntyp = 3
/
ATOMIC_SPECIES
Li 6.94 Li.upf
Cl 35.45 Cl.upf
Se 78.96 Se.upf
ATOMIC_POSITIONS crystal
Li 0.500 0.500 0.250
Cl 0.000 0.000 0.113
Cl 0.000 0.000 0.387
Se 0.500 0.500 0.750
CELL_PARAMETERS angstrom
3.267 0.000 0.000
0.000 2.604 0.000
0.000 0.000 11.996
```

=====

[13]
DFT (PBE) results for an optimized crystal structure of Na2CaUS4. Values from VASP.

Output
E_form (uncorrected) = -1.538 eV per atom
volume = 23.2 Å³ per atom
SG = No. 1

```
&SYSTEM
  ibrav = 0, nat = 8, ntyp = 4
/
ATOMIC_SPECIES
Na 22.99 Na.upf
S 32.06 S.upf
Ca 40.08 Ca.upf
U 238.03 U.upf
ATOMIC_POSITIONS crystal
Na 0.250 0.750 0.500
Na 0.000 0.000 0.000
S 0.526 0.026 0.053
S 0.742 0.741 0.484
S 0.259 0.258 0.516
S 0.974 0.474 0.948
Ca 0.500 0.500 0.000
U 0.749 0.251 0.500
CELL_PARAMETERS angstrom
5.614 0.003 0.006
-0.003 5.601 0.006
-2.799 -2.796 5.888
```

=====

[14]
DFT (PBE) results for an optimized crystal structure of NaPm4SmSe8. Values from VASP.

Output
E_form (uncorrected) = -1.764 eV per atom
volume = 32.8 Å³ per atom
SG = No. 160

```
&SYSTEM
  ibrav = 0, nat = 14, ntyp = 4
/
ATOMIC_SPECIES
Pm 145.00 Pm.upf
Se 78.96 Se.upf
Na 22.99 Na.upf
Sm 150.36 Sm.upf
ATOMIC_POSITIONS crystal
Pm 0.486 0.005 0.505
Pm 0.005 0.005 0.505
Pm 0.005 0.486 0.505
Pm 0.625 0.625 0.126
Se 0.225 0.759 0.257
Se 0.241 0.241 0.278
Se 0.240 0.779 0.742
Se 0.758 0.758 0.726
Se 0.779 0.240 0.742
Se 0.759 0.759 0.257
Se 0.759 0.225 0.257
Se 0.240 0.240 0.742
Na 0.375 0.375 0.875
Sm 0.005 0.005 0.986
CELL_PARAMETERS angstrom
8.668 0.000 0.000
4.334 7.507 0.000
4.334 2.502 7.062
```

=====

[15]
DFT (PBE) results for an optimized crystal structure of TbY2Pt. Values from VASP.

Output
volume = 27.1 Å³ per atom
E_form = -0.572 eV/atom
SG = No. 123

```
&SYSTEM
  ibrav = 0, nat = 4, ntyp = 3
/
ATOMIC_SPECIES
Y 88.91 Y.upf
Tb 158.93 Tb.upf
Pt 195.08 Pt.upf
ATOMIC_POSITIONS crystal
Y 0.000 0.000 0.805
Y 0.000 0.000 0.195
Tb 0.500 0.500 0.500
Pt 0.500 0.500 0.000
CELL_PARAMETERS angstrom
3.577 0.000 0.000
0.000 3.577 0.000
0.000 0.000 8.479
```

=====

[16]
DFT (PBE) results for an optimized crystal structure of TbY3Er7. Values from VASP.

Output
volume = 32.3 Å³ per atom
E_form = 0.281 eV/atom
SG = No. 71

```
&SYSTEM
  ibrav = 0, nat = 11, ntyp = 3
/
ATOMIC_SPECIES
Y 88.91 Y.upf
Er 167.26 Er.upf
Tb 158.93 Tb.upf
ATOMIC_POSITIONS crystal
Y 0.000 0.207 0.793
Y 0.000 0.793 0.207
Y 0.500 0.000 0.000
Er 0.210 0.209 0.209
Er 0.296 0.599 0.993
Er 0.790 0.791 0.791
Er 0.704 0.007 0.401
Er 0.704 0.401 0.007
Er 0.296 0.993 0.599
Er 0.000 0.500 0.500
Tb 0.500 0.500 0.500
CELL_PARAMETERS angstrom
-3.772 1.772 3.953
-2.234 -7.517 -2.945
6.126 -4.405 3.638
```

=====

[17]
DFT (PBE) results for an optimized crystal structure of Be3In. Values from VASP.

Output
volume = 13.2 Å³ per atom
E_form = 0.465 eV/atom
SG = No. 25

```
&SYSTEM
  ibrav = 0, nat = 4, ntyp = 2
/
ATOMIC_SPECIES
In 114.82 In.upf
Be 9.01 Be.upf
ATOMIC_POSITIONS crystal
In 0.000 0.500 0.308
Be 0.500 0.000 0.595
Be 0.500 0.500 0.865
Be 0.000 0.000 0.899
CELL_PARAMETERS angstrom
-0.564 0.823 -2.416
0.624 -3.305 -1.271
-5.397 -1.329 0.806
```

=====

[18]
DFT (PBE) results for an optimized crystal structure of Zn2ReSe. Values from VASP.

Output
E_form (uncorrected) = 0.521 eV per atom
volume = 15.7 Å³ per atom
SG = No. 119

```
&SYSTEM
  ibrav = 0, nat = 4, ntyp = 3
/
ATOMIC_SPECIES
Re 186.21 Re.upf
Zn 65.41 Zn.upf
Se 78.96 Se.upf
ATOMIC_POSITIONS crystal
Re 0.500 0.500 0.000
Zn 0.250 0.750 0.500
Zn 0.000 0.000 0.000
Se 0.750 0.250 0.500
CELL_PARAMETERS angstrom
-2.022 -2.290 -3.915
0.714 -4.913 0.086
-1.698 3.284 3.315
```

=====

[19]
DFT (PBE) results for an optimized crystal structure of PaS2Cl8. Values from VASP.

Output
E_form (uncorrected) = -1.031 eV per atom
volume = 40.7 Å³ per atom
SG = No. 12

```
&SYSTEM
  ibrav = 0, nat = 11, ntyp = 3
/
ATOMIC_SPECIES
Cl 35.45 Cl.upf
S 32.06 S.upf
Pa 231.04 Pa.upf
ATOMIC_POSITIONS crystal
Cl 0.846 0.787 0.128
Cl 0.707 0.722 0.722
Cl 0.293 0.278 0.278
Cl 0.221 0.703 0.703
Cl 0.779 0.297 0.297
Cl 0.846 0.128 0.787
Cl 0.154 0.213 0.872
Cl 0.154 0.872 0.213
S 0.481 0.909 0.909
S 0.519 0.091 0.091
Pa 0.000 0.000 0.000
CELL_PARAMETERS angstrom
-6.026 -5.271 6.170
-5.773 -2.884 -3.453
2.707 -6.594 1.660
```

=====

[20]
DFT (PBE) results for an optimized crystal structure of Sm4TmAu2. Values from VASP.

Output
volume = 30.9 Å³ per atom
E_form = -0.238 eV/atom
SG = No. 166

```
&SYSTEM
  ibrav = 0, nat = 7, ntyp = 3
/
ATOMIC_SPECIES
Sm 150.36 Sm.upf
Au 196.97 Au.upf
Tm 168.93 Tm.upf
ATOMIC_POSITIONS crystal
Sm 0.876 0.876 0.373
Sm 0.281 0.281 0.156
Sm 0.124 0.124 0.627
Sm 0.719 0.719 0.844
Au 0.606 0.606 0.182
Au 0.394 0.394 0.818
Tm 0.500 0.500 0.500
CELL_PARAMETERS angstrom
5.382 0.000 0.000
2.691 4.661 0.000
2.691 1.554 8.629
```